Record 1
Tm5Zn2Ga5 | GGA-PBE | optimized geometry

Unit cell a=15.4555 b=4.4100 c=9.1992 alpha=90.00 beta=126.49 gamma=90.00
Closest atoms and distances in Å follow each position.
Space group C2/m (No. 12)
Asymmetric unit:
Tm 0.0000 0.0000 0.0000 [2 per cell]  4 Ga 2.91, 4 Zn 2.97
Tm 0.1420 0.0000 0.4509 [4 per cell]  7 Ga 2.98-3.33, 1 Zn 3.02
Tm 0.1426 0.0000 0.8333 [4 per cell]  7 Ga 2.98-3.33, 1 Zn 3.02
Zn 0.1600 0.5000 0.1611 [4 per cell]  4 Ga 2.56-2.75
Ga 0.0000 0.5000 0.5000 [2 per cell]  4 Ga 2.70-2.92
Ga 0.0005 0.5000 0.7944 [4 per cell]  1 Ga 2.70, 2 Zn 2.74-2.75, 6 Tm 2.91-2.98
Ga 0.2351 0.5000 0.7350 [4 per cell]  2 Zn 2.56

Computed properties:
Electronic total energy: -3.866 eV per atom
Magnetic moment: 0.000 μB per formula unit
D(E_F): 4.85 states/eV/f.u.
Calculated density: 8.72 g cm⁻³
Energy of formation from the pure elements: -0.5298 eV per atom

---

Record 2
Ag2RhSe | GGA-PBE | optimized geometry

Unit cell a=9.8268 b=3.2046 c=4.8341 alpha=90.00 beta=109.36 gamma=90.00
Closest atoms and distances in Å follow each position.
Space group Cm (No. 8)
Asymmetric unit:
Ag 0.0000 0.0000 0.0000 [2 per cell]  3 Ag 2.83-2.99, 4 Se 2.86-3.01, 3 Rh 2.93-3.13
Ag 0.2284 0.0000 0.7657 [2 per cell]  3 Ag 2.83-2.99, 4 Rh 2.91-2.92, 3 Se 3.05-3.10
Rh 0.2577 0.5000 0.2873 [2 per cell]  2 Se 2.40
Se 0.4501 0.0000 0.4480 [2 per cell]  2 Rh 2.40

Computed properties:
Electronic total energy: -4.021 eV per atom
Magnetic moment: 0.000 μB per formula unit
D(E_F): 3.28 states/eV/f.u.
Calculated density: 9.19 g cm⁻³

---

Record 3
PmTmZnGa | GGA-PBE | optimized geometry

Unit cell a=7.1963 b=7.1963 c=7.1963 alpha=90.00 beta=90.00 gamma=90.00
Closest atoms and distances in Å follow each position.
Space group F-43m (No. 216)
Asymmetric unit:
Pm 0.0000 0.0000 0.0000 [4 per cell]  4 Ga 3.12, 4 Zn 3.12
Tm 0.0000 0.0000 0.5000 [4 per cell]  4 Zn 3.12, 4 Ga 3.12
Zn 0.2500 0.2500 0.7500 [4 per cell]  4 Pm 3.12, 4 Tm 3.12
Ga 0.2500 0.2500 0.2500 [4 per cell]  4 Pm 3.12, 4 Tm 3.12

Computed properties:
Electronic total energy: -3.840 eV per atom
Magnetic moment: 0.000 μB per formula unit
D(E_F): 3.24 states/eV/f.u.
Calculated density: 8.00 g cm⁻³
Energy of formation from the pure elements: -0.4594 eV per atom

---

Record 4
PrCd3Ag3 | GGA-PBE | optimized geometry

Unit cell a=13.0067 b=13.0067 c=13.0067 alpha=90.00 beta=90.00 gamma=90.00
Closest atoms and distances in Å follow each position.
Space group Fm-3m (No. 225)
Asymmetric unit:
Pr 0.2500 0.2500 0.2500 [8 per cell]  12 Cd 4.76, 12 Ag 4.79
Cd 0.0000 0.0000 0.1569 [24 per cell]  1 Ag 2.54
Ag 0.0000 0.0000 0.3519 [24 per cell]  1 Cd 2.54, 4 Ag 2.73

Computed properties:
Electronic total energy: -1.538 eV per atom
Magnetic moment: 1.105 μB per formula unit
D(E_F): 7.23 states/eV/f.u.
Calculated density: 4.84 g cm⁻³
Energy of formation from the pure elements: 0.7590 eV per atom
Excess energy over the best structure of this formula in the dataset: 0.895 eV/atom

---

Record 5
La2GaTcTe | GGA-PBE | optimized geometry

Unit cell a=5.3889 b=5.3889 c=5.1797 alpha=90.00 beta=90.00 gamma=90.00
Closest atoms and distances in Å follow each position.
Space group P4/mmm (No. 123)
Asymmetric unit:
La 0.0000 0.5000 0.0000 [2 per cell]  2 Tc 2.69
Ga 0.0000 0.0000 0.5000 [1 per cell]  8 La 3.74, 4 Te 3.81
Tc 0.5000 0.5000 0.0000 [1 per cell]  2 Te 2.59, 4 La 2.69
Te 0.5000 0.5000 0.5000 [1 per cell]  2 Tc 2.59

Computed properties:
Electronic total energy: -5.480 eV per atom
Magnetic moment: 0.000 μB per formula unit
D(E_F): 3.71 states/eV/f.u.
Calculated density: 6.33 g cm⁻³

---

Record 6
AlNiTe2 | GGA-PBE | optimized geometry

Unit cell a=3.5964 b=3.5964 c=7.3911 alpha=90.00 beta=90.00 gamma=90.00
Closest atoms and distances in Å follow each position.
Space group P4mm (No. 99)
Asymmetric unit:
Al 0.0000 0.0000 0.0000 [1 per cell]  5 Te 2.60-2.80
Ni 0.5000 0.5000 0.1930 [1 per cell]  5 Te 2.59-2.80
Te 0.0000 0.0000 0.3520 [1 per cell]  1 Al 2.60, 4 Ni 2.80
Te 0.5000 0.5000 0.8425 [1 per cell]  1 Ni 2.59, 4 Al 2.80

Computed properties:
Electronic total energy: -4.044 eV per atom
Magnetic moment: 0.000 μB per formula unit
D(E_F): 2.71 states/eV/f.u.
Calculated density: 5.92 g cm⁻³

---

Record 7
PuUMnNi | GGA-PBE | optimized geometry

Unit cell a=6.3067 b=6.3067 c=6.3067 alpha=90.00 beta=90.00 gamma=90.00
Closest atoms and distances in Å follow each position.
Space group F-43m (No. 216)
Asymmetric unit:
Pu 0.0000 0.0000 0.0000 [4 per cell]  4 Ni 2.73, 4 U 2.73
U 0.2500 0.2500 0.2500 [4 per cell]  4 Mn 2.73, 4 Pu 2.73
Mn 0.0000 0.0000 0.5000 [4 per cell]  4 Ni 2.73, 4 U 2.73
Ni 0.2500 0.2500 0.7500 [4 per cell]  4 Mn 2.73, 4 Pu 2.73

Computed properties:
Electronic total energy: -10.303 eV per atom
Magnetic moment: 3.042 μB per formula unit
D(E_F): 5.39 states/eV/f.u.
Calculated density: 15.77 g cm⁻³
Energy of formation from the pure elements: -0.1600 eV per atom

---

Record 8
ErScN | GGA-PBE | optimized geometry

Unit cell a=3.3116 b=5.8675 c=11.7952 alpha=90.00 beta=90.00 gamma=90.00
Closest atoms and distances in Å follow each position.
Space group Fmm2 (No. 42)
Asymmetric unit:
Er 0.0000 0.0000 0.0000 [4 per cell]  2 N 2.30
Sc 0.0000 0.0000 0.7480 [4 per cell]  2 N 2.15
N 0.0000 0.0000 0.3644 [4 per cell]  2 Sc 2.15, 2 Er 2.30

Computed properties:
Electronic total energy: -7.154 eV per atom
Magnetic moment: 0.000 μB per formula unit
D(E_F): 2.47 states/eV/f.u.
Calculated density: 6.56 g cm⁻³
Excess energy over the best structure of this formula in the dataset: 0.383 eV/atom

---

Please write out number 2 again, unchanged.
Ag2RhSe | GGA-PBE | optimized geometry

Unit cell a=9.8268 b=3.2046 c=4.8341 alpha=90.00 beta=109.36 gamma=90.00
Closest atoms and distances in Å follow each position.
Space group Cm (No. 8)
Asymmetric unit:
Ag 0.0000 0.0000 0.0000 [2 per cell]  3 Ag 2.83-2.99, 4 Se 2.86-3.01, 3 Rh 2.93-3.13
Ag 0.2284 0.0000 0.7657 [2 per cell]  3 Ag 2.83-2.99, 4 Rh 2.91-2.92, 3 Se 3.05-3.10
Rh 0.2577 0.5000 0.2873 [2 per cell]  2 Se 2.40
Se 0.4501 0.0000 0.4480 [2 per cell]  2 Rh 2.40

Computed properties:
Electronic total energy: -4.021 eV per atom
Magnetic moment: 0.000 μB per formula unit
D(E_F): 3.28 states/eV/f.u.
Calculated density: 9.19 g cm⁻³

---

> Which value of calculated density does entry 4 give?

4.84 g cm⁻³

---

> Number 5 is which compound?

La2GaTcTe

---

> Among the records above, which one has the highest electronic total energy?

PrCd3Ag3